No. 1
# LaTi

A relaxed LaTi crystal (PBE, the Alexandria database).

Values from the calculation:
The offset from the most stable computed form is 38 kJ/mol of formula units. The raw total energy comes out at -6.012 eV per atom. The calculation puts the density of states at the Fermi level at 1.921 states/eV per atom. The value obtained for the calculated volume is 27.45 Å³ per atom. The value obtained for the total magnetization is 0.000 μB per atom. The value obtained for the density is 5.65 Mg/m³.

Lattice parameters (Å, degrees): 5.8067 9.7559 15.5049 90.00 90.00 90.00
Space group Fddd (No. 70, origin choice 2)
Asymmetric unit:
La: 0.1250 0.2934 0.1250 [16 per cell]
Ti: 0.1250 0.1250 0.5535 [16 per cell]


No. 2
# VS2Cl

A relaxed VS2Cl crystal (PBE, the Alexandria database).

Values from the calculation:
The offset from the most stable computed form is 0 kJ/mol of formula units. The raw total energy comes out at -5.485 eV per atom. The calculation puts the density of states at the Fermi level at 0.081 states/eV per atom. The value obtained for the calculated volume is 27.74 Å³ per atom. The value obtained for the total magnetization is 0.000 μB per atom. For the uncorrected formation energy, the calculation gives -0.680 eV/atom. The value obtained for the density is 2.25 Mg/m³.

Lattice parameters (Å, degrees): 5.8409 3.1898 6.4009 90.00 111.48 90.00
Space group Pm (No. 6)
Asymmetric unit:
V: 0.0000 0.0000 0.0000 [1 per cell]
S: 0.3301 0.0000 0.2623 [1 per cell]
S: 0.7721 0.5000 0.0771 [1 per cell]
Cl: 0.0585 0.5000 0.7429 [1 per cell]